[1]
Sr2YPaN4 after structural relaxation, computed with PBE.

SG: P2/m
Formation energy without anion corrections: -1.369 eV/atom
Crystal system: monoclinic
Theoretical density: 6.8 g/cm³
Total magnetization: 0.000 μB per cell
Energy: -63.579 eV/cell

```
Sr2YPaN4
1.0
6.170 0.000 0.000
0.000 3.627 0.000
-2.035 0.000 6.024
Sr Y Pa N
2 1 1 4
Cartesian
0.000 0.000 0.000
3.085 1.813 0.000
-1.017 1.813 3.012
2.067 0.000 3.012
0.140 0.000 4.247
1.102 1.813 1.782
3.033 1.813 4.242
3.995 0.000 1.777
```



[2]
SrY3Pa2N6 after structural relaxation, computed with PBE.

SG: C2/m
Formation energy without anion corrections: -1.524 eV/atom
Crystal system: monoclinic
D(E_F): 5.23 states/eV/cell
Theoretical density: 8.0 g/cm³
Total magnetization: 0.000 μB per cell
Energy: -108.302 eV/cell

```
SrY3Pa2N6
1.0
7.681 -1.764 0.000
7.681 1.764 0.000
-1.577 0.000 6.892
Sr Y Pa N
1 3 2 6
Cartesian
0.000 0.000 0.000
-0.789 0.000 3.446
4.845 0.000 1.139
8.940 0.000 5.753
4.083 0.000 4.593
9.702 0.000 2.299
1.655 0.000 3.993
2.496 0.000 0.700
6.291 0.000 4.978
7.494 0.000 1.914
11.289 0.000 6.192
12.130 0.000 2.899
```